No. 1
# CsI3Br6 | Alexandria | GGA-PBE | relaxed
# * total moment: 0.00 μB per cell
# * formation energy (no corrections): -316 meV per atom
# * DOS at the Fermi energy: 1.54 states/eV per atom
data_CsI3Br6
_chemical_formula_sum 'Cs1 I3 Br6'
_cell_length_a 11.0050
_cell_length_b 11.0050
_cell_length_c 11.0050
_cell_angle_alpha 117.18
_cell_angle_beta 117.18
_cell_angle_gamma 117.18
_symmetry_space_group_name_H-M 'P 1'
_symmetry_Int_Tables_number 1
_symmetry_space_group_name_Hall 'P 1'
loop_
_atom_site_label
_atom_site_type_symbol
_atom_site_fract_x
_atom_site_fract_y
_atom_site_fract_z
Cs1 Cs 0.0000 0.0000 0.0000
I1 I 0.4517 0.9124 0.9124
I2 I 0.9124 0.4517 0.9124
I3 I 0.9124 0.9124 0.4517
Br1 Br 0.2266 0.2266 0.5595
Br2 Br 0.2266 0.5595 0.2266
Br3 Br 0.3505 0.5919 0.5919
Br4 Br 0.5595 0.2266 0.2266
Br5 Br 0.5919 0.3504 0.5919
Br6 Br 0.5919 0.5919 0.3504

No. 2
# SrTl2Zn | Alexandria | GGA-PBE | relaxed
# * total moment: 0.00 μB per cell
# * DOS at the Fermi energy: 0.44 states/eV per atom
# * E_form: -0.034 eV per atom
data_SrTl2Zn
_chemical_formula_sum 'Sr2 Tl4 Zn2'
_cell_length_a 11.6573
_cell_length_b 11.6573
_cell_length_c 11.6573
_cell_angle_alpha 156.41
_cell_angle_beta 156.41
_cell_angle_gamma 33.61
_symmetry_space_group_name_H-M 'P 1'
_symmetry_Int_Tables_number 1
_symmetry_space_group_name_Hall 'P 1'
loop_
_atom_site_label
_atom_site_type_symbol
_atom_site_fract_x
_atom_site_fract_y
_atom_site_fract_z
Sr1 Sr 0.0000 0.0000 0.0000
Sr2 Sr 0.7500 0.2500 0.5000
Tl1 Tl 0.1614 0.6250 0.0364
Tl2 Tl 0.3750 0.4114 0.5364
Tl3 Tl 0.5886 0.1250 0.9636
Tl4 Tl 0.8750 0.8386 0.4636
Zn1 Zn 0.2500 0.7500 0.5000
Zn2 Zn 0.5000 0.5000 0.0000

Please write out number 2 again, unchanged.
# SrTl2Zn | Alexandria | GGA-PBE | relaxed
# * total moment: 0.00 μB per cell
# * DOS at the Fermi energy: 0.44 states/eV per atom
# * E_form: -0.034 eV per atom
data_SrTl2Zn
_chemical_formula_sum 'Sr2 Tl4 Zn2'
_cell_length_a 11.6573
_cell_length_b 11.6573
_cell_length_c 11.6573
_cell_angle_alpha 156.41
_cell_angle_beta 156.41
_cell_angle_gamma 33.61
_symmetry_space_group_name_H-M 'P 1'
_symmetry_Int_Tables_number 1
_symmetry_space_group_name_Hall 'P 1'
loop_
_atom_site_label
_atom_site_type_symbol
_atom_site_fract_x
_atom_site_fract_y
_atom_site_fract_z
Sr1 Sr 0.0000 0.0000 0.0000
Sr2 Sr 0.7500 0.2500 0.5000
Tl1 Tl 0.1614 0.6250 0.0364
Tl2 Tl 0.3750 0.4114 0.5364
Tl3 Tl 0.5886 0.1250 0.9636
Tl4 Tl 0.8750 0.8386 0.4636
Zn1 Zn 0.2500 0.7500 0.5000
Zn2 Zn 0.5000 0.5000 0.0000